Computed, not measured: crystalline Hf2Zn2Cu at its relaxed geometry at the GGA-PBE level of DFT.

Cell lengths 6.4887, 6.4887, 4.0918 Å; angles 90.00, 90.00, 90.00 degrees
Element x y z (fractional)
Hf 0.1696 0.3304 0.0000
Hf 0.3304 0.8304 0.0000
Hf 0.6696 0.1696 0.0000
Hf 0.8304 0.6696 0.0000
Zn 0.1351 0.6351 0.5000
Zn 0.3649 0.1351 0.5000
Zn 0.6351 0.8649 0.5000
Zn 0.8649 0.3649 0.5000
Cu 0.0000 0.0000 0.5000
Cu 0.5000 0.5000 0.5000

For the energy of formation from the pure elements, the calculation gives -0.140 eV per atom. For the energy above the most stable polymorph in this dataset, the calculation gives 0.000 eV per atom. The value obtained for the uncorrected energy is -54.501 eV for the cell shown. The magnetization comes out at 0.0 μB/cell.